Computed, not measured: a geometry-optimized YSnMo2N structure at the PBE level of DFT.

Geometry as POSCAR:
```
YSnMo2N
1.0
-2.440 -4.518 -0.842
3.276 -1.374 -2.123
2.038 -1.919 4.387
Y Mo Sn N
1 2 1 1
Direct
0.000 0.000 0.000 Y
0.000 0.000 0.500 Mo
0.500 0.000 0.000 Mo
0.500 0.500 0.500 Sn
0.000 0.500 0.000 N
```

Results
uncorrected energy: -30.6 eV/cell
space-group type: P4/mmm (123)
N(E_F): 1.391 states/eV per atom
ΔE_f (raw): 1975 meV per atom
spin magnetization: 3.11 μB per formula unit

=====

Computed, not measured: a geometry-optimized YbU3 structure at the PBE level of DFT.

Geometry as POSCAR:
```
YbU3
1.0
-0.461 3.593 2.641
-4.376 0.147 -0.963
-0.858 -2.677 3.492
Yb U
1 3
Direct
0.000 0.000 0.000 Yb
0.000 0.500 0.500 U
0.500 0.000 0.500 U
0.500 0.500 0.000 U
```

Results
formation energy: 2.54 eV per formula unit
uncorrected energy: -32.8 eV/cell
space-group type: Pm-3m (221)
N(E_F): 2.993 states/eV per atom
polymorph energy (0 for the lowest one): 0.0459 eV per atom
spin magnetization: 1.50 μB per formula unit

=====

Computed, not measured: a geometry-optimized Nb3AlOs structure at the PBE level of DFT.

Geometry as POSCAR:
```
Nb3AlOs
1.0
4.603 0.000 0.000
0.000 4.603 0.000
0.000 0.000 4.603
Nb Os Al
3 1 1
Direct
0.000 0.500 0.000 Nb
0.000 0.000 0.500 Nb
0.500 0.000 0.000 Nb
0.500 0.500 0.500 Os
0.000 0.000 0.000 Al
```

Results
formation energy: 7.19 eV per formula unit
uncorrected energy: -38.0 eV/cell
space-group type: Pm-3m (221)
N(E_F): 1.464 states/eV per atom
polymorph energy (0 for the lowest one): 0.4722 eV per atom
spin magnetization: 0.00 μB per formula unit

=====

Computed, not measured: a geometry-optimized ScTiB3 structure at the PBE level of DFT.

Geometry as POSCAR:
```
ScTiB3
1.0
3.108 0.000 0.000
0.000 3.427 0.000
0.000 -1.713 9.659
Sc Ti B
2 2 6
Direct
0.250 0.071 0.143 Sc
0.750 0.929 0.857 Sc
0.250 0.796 0.592 Ti
0.750 0.204 0.408 Ti
0.250 0.381 0.763 B
0.750 0.619 0.237 B
0.250 0.477 0.954 B
0.750 0.523 0.046 B
0.750 0.332 0.664 B
0.250 0.668 0.336 B
```

Results
formation energy: -4.05 eV per formula unit
uncorrected energy: -76.6 eV/cell
space-group type: Cmcm (63)
N(E_F): 0.449 states/eV per atom
polymorph energy (0 for the lowest one): 0.0000 eV per atom
spin magnetization: 0.00 μB per formula unit

=====

Computed, not measured: a geometry-optimized AcGa6Pd4 structure at the PBE level of DFT.

Geometry as POSCAR:
```
AcGa6Pd4
1.0
4.202 0.000 0.000
0.000 7.400 0.000
0.000 -3.700 6.408
Ac Ga Pd
1 6 4
Direct
0.000 0.000 0.000 Ac
0.000 0.536 0.072 Ga
0.500 0.595 0.798 Ga
0.000 0.536 0.464 Ga
0.000 0.928 0.464 Ga
0.500 0.202 0.798 Ga
0.500 0.202 0.405 Ga
0.500 0.796 0.592 Pd
0.500 0.408 0.204 Pd
0.500 0.796 0.204 Pd
0.000 0.333 0.667 Pd
```

Results
formation energy: -7.17 eV per formula unit
uncorrected energy: -50.2 eV/cell
space-group type: P-6m2 (187)
N(E_F): 0.469 states/eV per atom
spin magnetization: 0.00 μB per formula unit

=====

Computed, not measured: a geometry-optimized CaBrCl2 structure at the PBE level of DFT.

Geometry as POSCAR:
```
CaBrCl2
1.0
-1.367 -7.080 1.424
4.743 -5.233 2.035
-3.001 6.609 1.160
Ca Br Cl
1 1 2
Direct
0.231 0.731 0.500 Ca
0.399 0.399 0.000 Br
0.095 0.095 0.000 Cl
0.774 0.274 0.500 Cl
```

Results
uncorrected energy: -13.0 eV/cell
space-group type: Imm2 (44)
N(E_F): 0.100 states/eV per atom
ΔE_f (raw): -1415 meV per atom
polymorph energy (0 for the lowest one): 0.2204 eV per atom
spin magnetization: 1.05 μB per formula unit

=====

Computed, not measured: a geometry-optimized La8Pm2Ho structure at the PBE level of DFT.

Geometry as POSCAR:
```
La8Pm2Ho
1.0
-2.523 4.498 -1.037
-2.896 -2.462 -3.636
-10.082 -3.290 10.258
La Pm Ho
8 2 1
Direct
0.000 0.500 0.500 La
0.500 0.000 0.500 La
0.500 0.500 0.322 La
0.500 0.500 0.678 La
0.000 0.500 0.147 La
0.500 0.000 0.147 La
0.000 0.500 0.853 La
0.500 0.000 0.853 La
0.000 0.000 0.318 Pm
0.000 0.000 0.682 Pm
0.000 0.000 0.000 Ho
```

Results
formation energy: 1.74 eV per formula unit
uncorrected energy: -51.8 eV/cell
space-group type: P4/mmm (123)
N(E_F): 1.618 states/eV per atom
polymorph energy (0 for the lowest one): 0.0355 eV per atom
spin magnetization: 0.00 μB per formula unit

=====

Computed, not measured: a geometry-optimized Zn6Pd2Au3 structure at the PBE level of DFT.

Geometry as POSCAR:
```
Zn6Pd2Au3
1.0
3.665 0.000 0.000
0.000 3.665 0.000
-1.832 -1.832 14.031
Zn Pd Au
6 2 3
Direct
0.071 0.571 0.142 Zn
0.571 0.071 0.142 Zn
0.929 0.429 0.858 Zn
0.429 0.929 0.858 Zn
0.725 0.725 0.450 Zn
0.275 0.275 0.550 Zn
0.365 0.365 0.729 Pd
0.635 0.635 0.271 Pd
0.000 0.000 0.000 Au
0.818 0.818 0.636 Au
0.182 0.182 0.364 Au
```

Results
formation energy: -1.83 eV per formula unit
uncorrected energy: -29.7 eV/cell
space-group type: I4/mmm (139)
N(E_F): 0.399 states/eV per atom
spin magnetization: 0.00 μB per formula unit

=====

Computed, not measured: a geometry-optimized TaSbI structure at the PBE level of DFT.

Geometry as POSCAR:
```
TaSbI
1.0
5.388 0.000 0.000
0.000 11.097 0.186
0.000 -4.041 6.378
I Ta Sb
4 4 4
Direct
0.250 0.315 0.616 I
0.750 0.685 0.884 I
0.750 0.685 0.384 I
0.250 0.315 0.116 I
0.250 0.081 0.687 Ta
0.750 0.919 0.813 Ta
0.750 0.919 0.313 Ta
0.250 0.081 0.187 Ta
0.250 0.857 0.766 Sb
0.750 0.143 0.734 Sb
0.750 0.143 0.234 Sb
0.250 0.857 0.266 Sb
```

Results
uncorrected energy: -70.1 eV/cell
space-group type: P2_1/m (11)
N(E_F): 0.500 states/eV per atom
ΔE_f (raw): 2 meV per atom
spin magnetization: 0.00 μB per formula unit

=====

Computed, not measured: a geometry-optimized CeHf2Ga9 structure at the PBE level of DFT.

Geometry as POSCAR:
```
CeHf2Ga9
1.0
4.185 0.000 0.000
0.000 4.185 0.000
0.000 0.000 12.498
Ce Hf Ga
1 2 9
Direct
0.000 0.000 0.000 Ce
0.000 0.000 0.341 Hf
0.000 0.000 0.659 Hf
0.500 0.500 0.000 Ga
0.500 0.500 0.335 Ga
0.500 0.500 0.665 Ga
0.500 0.000 0.177 Ga
0.500 0.000 0.500 Ga
0.500 0.000 0.823 Ga
0.000 0.500 0.177 Ga
0.000 0.500 0.500 Ga
0.000 0.500 0.823 Ga
```

Results
formation energy: -5.05 eV per formula unit
uncorrected energy: -58.1 eV/cell
space-group type: P4/mmm (123)
N(E_F): 0.579 states/eV per atom
spin magnetization: 0.00 μB per formula unit

=====

Computed, not measured: a geometry-optimized Pr4HoCu5 structure at the PBE level of DFT.

Geometry as POSCAR:
```
Pr4HoCu5
1.0
-0.348 -2.889 -2.059
-1.802 -1.638 2.603
-15.538 6.587 -6.616
Pr Ho Cu
4 1 5
Direct
0.000 0.000 0.195 Pr
0.000 0.000 0.399 Pr
0.000 0.000 0.601 Pr
0.000 0.000 0.805 Pr
0.000 0.000 0.000 Ho
0.500 0.500 0.088 Cu
0.500 0.500 0.298 Cu
0.500 0.500 0.500 Cu
0.500 0.500 0.702 Cu
0.500 0.500 0.912 Cu
```

Results
formation energy: -1.47 eV per formula unit
uncorrected energy: -45.6 eV/cell
space-group type: P4/mmm (123)
N(E_F): 0.812 states/eV per atom
spin magnetization: 0.00 μB per formula unit

=====

Computed, not measured: a geometry-optimized K2Sc2Bi2S structure at the PBE level of DFT.

Geometry as POSCAR:
```
K2Sc2Bi2S
1.0
4.969 0.000 0.000
0.000 4.969 0.000
-2.485 -2.485 9.064
K Sc Bi S
2 2 2 1
Direct
0.179 0.179 0.358 K
0.821 0.821 0.642 K
0.000 0.500 0.000 Sc
0.500 0.000 0.000 Sc
0.389 0.389 0.778 Bi
0.611 0.611 0.222 Bi
0.000 0.000 0.000 S
```

Results
uncorrected energy: -33.5 eV/cell
space-group type: I4/mmm (139)
N(E_F): 0.214 states/eV per atom
ΔE_f (raw): -960 meV per atom
spin magnetization: 0.00 μB per formula unit

=====

Computed, not measured: a geometry-optimized Nd7SmY3 structure at the PBE level of DFT.

Geometry as POSCAR:
```
Nd7SmY3
1.0
5.944 -0.194 -0.248
-2.670 8.122 1.110
-2.670 -0.892 8.149
Nd Sm Y
7 1 3
Direct
0.212 0.212 0.212 Nd
0.304 0.013 0.596 Nd
0.696 0.404 0.987 Nd
0.304 0.596 0.013 Nd
0.000 0.500 0.500 Nd
0.696 0.987 0.404 Nd
0.788 0.788 0.788 Nd
0.500 0.500 0.500 Sm
0.000 0.798 0.202 Y
0.500 0.000 0.000 Y
0.000 0.202 0.798 Y
```

Results
formation energy: 2.41 eV per formula unit
uncorrected energy: -55.1 eV/cell
space-group type: Immm (71)
N(E_F): 1.448 states/eV per atom
polymorph energy (0 for the lowest one): 0.0000 eV per atom
spin magnetization: 0.00 μB per formula unit

=====

Computed, not measured: a geometry-optimized SnTe2Ir structure at the PBE level of DFT.

Geometry as POSCAR:
```
SnTe2Ir
1.0
-4.332 -11.461 0.105
-1.734 -12.033 -1.528
-1.649 -12.037 1.593
Ir Te Sn
1 2 1
Direct
0.000 0.000 0.000 Ir
0.929 0.929 0.929 Te
0.071 0.071 0.071 Te
0.500 0.500 0.500 Sn
```

Results
uncorrected energy: -17.5 eV/cell
space-group type: R-3m (166)
N(E_F): 1.247 states/eV per atom
ΔE_f (raw): 411 meV per atom
spin magnetization: 0.40 μB per formula unit

=====

Computed, not measured: a geometry-optimized HoThCuPt structure at the PBE level of DFT.

Geometry as POSCAR:
```
HoThCuPt
1.0
3.814 0.000 0.000
0.000 4.532 0.000
-1.907 0.000 5.303
Ho Th Cu Pt
1 1 1 1
Direct
0.140 0.000 0.279 Ho
0.861 0.500 0.721 Th
0.420 0.000 0.840 Cu
0.580 0.500 0.159 Pt
```

Results
formation energy: -2.93 eV per formula unit
uncorrected energy: -25.1 eV/cell
space-group type: Amm2 (38)
N(E_F): 0.863 states/eV per atom
polymorph energy (0 for the lowest one): 0.0000 eV per atom
spin magnetization: 0.00 μB per formula unit

=====

Computed, not measured: a geometry-optimized AcPuGa structure at the PBE level of DFT.

Geometry as POSCAR:
```
AcPuGa
1.0
-1.913 -0.996 3.175
3.184 0.517 2.081
-2.159 6.016 -1.733
Ac Ga Pu
1 1 1
Direct
0.016 0.016 0.032 Ac
0.682 0.682 0.364 Ga
0.302 0.302 0.604 Pu
```

Results
formation energy: -0.43 eV per formula unit
uncorrected energy: -21.9 eV/cell
space-group type: I4mm (107)
N(E_F): 2.703 states/eV per atom
polymorph energy (0 for the lowest one): 0.0000 eV per atom
spin magnetization: 6.39 μB per formula unit

=====

Computed, not measured: a geometry-optimized Pm7Ga2Pd2 structure at the PBE level of DFT.

Geometry as POSCAR:
```
Pm7Ga2Pd2
1.0
-5.944 -2.591 -2.285
-0.806 -3.592 6.172
-1.303 5.906 3.268
Pm Ga Pd
7 2 2
Direct
0.000 0.268 0.500 Pm
0.500 0.732 0.000 Pm
0.000 0.732 0.500 Pm
0.500 0.268 0.000 Pm
0.000 0.000 0.000 Pm
0.500 0.737 0.500 Pm
0.500 0.263 0.500 Pm
0.838 0.500 0.838 Ga
0.162 0.500 0.162 Ga
0.707 0.000 0.293 Pd
0.293 0.000 0.707 Pd
```

Results
formation energy: -3.60 eV per formula unit
uncorrected energy: -53.3 eV/cell
space-group type: Cmmm (65)
N(E_F): 1.023 states/eV per atom
spin magnetization: 0.00 μB per formula unit

=====

Computed, not measured: a geometry-optimized Tl12Cd2In5 structure at the PBE level of DFT.

Geometry as POSCAR:
```
Tl12Cd2In5
1.0
5.791 -0.071 1.163
1.228 9.200 4.507
-0.055 -0.444 10.308
Tl Cd In
12 2 5
Direct
0.047 0.898 0.898 Tl
0.203 0.541 0.067 Tl
0.203 0.067 0.541 Tl
0.620 0.649 0.153 Tl
0.620 0.153 0.649 Tl
0.279 0.444 0.444 Tl
0.721 0.556 0.556 Tl
0.380 0.351 0.847 Tl
0.380 0.847 0.351 Tl
0.797 0.459 0.933 Tl
0.797 0.933 0.459 Tl
0.953 0.102 0.102 Tl
0.000 0.253 0.747 Cd
0.000 0.747 0.253 Cd
0.405 0.206 0.206 In
0.830 0.310 0.310 In
0.500 0.000 0.000 In
0.170 0.690 0.690 In
0.595 0.794 0.794 In
```

Results
formation energy: 0.88 eV per formula unit
uncorrected energy: -43.0 eV/cell
space-group type: C2/m (12)
N(E_F): 0.445 states/eV per atom
spin magnetization: 0.00 μB per formula unit

=====

Computed, not measured: a geometry-optimized CeTcNiGe2 structure at the PBE level of DFT.

Geometry as POSCAR:
```
CeTcNiGe2
1.0
4.135 0.000 0.000
0.000 4.135 0.000
-2.067 -2.067 5.220
Ce Tc Ni Ge
1 1 1 2
Direct
0.000 0.000 0.000 Ce
0.750 0.250 0.500 Tc
0.250 0.750 0.500 Ni
0.626 0.626 0.252 Ge
0.374 0.374 0.748 Ge
```

Results
formation energy: -2.64 eV per formula unit
uncorrected energy: -34.0 eV/cell
space-group type: I-4m2 (119)
N(E_F): 1.207 states/eV per atom
spin magnetization: 0.55 μB per formula unit

=====

Computed, not measured: a geometry-optimized Zr4SeBr structure at the PBE level of DFT.

Geometry as POSCAR:
```
Zr4SeBr
1.0
-3.026 1.735 4.677
-5.354 -2.112 0.959
-0.929 -3.703 4.412
Zr Se Br
4 1 1
Direct
0.876 0.375 0.375 Zr
0.375 0.375 0.876 Zr
0.375 0.876 0.375 Zr
0.375 0.375 0.375 Zr
0.000 0.000 0.000 Se
0.750 0.750 0.750 Br
```

Results
uncorrected energy: -37.4 eV/cell
space-group type: F-43m (216)
N(E_F): 0.983 states/eV per atom
ΔE_f (raw): 328 meV per atom
spin magnetization: 0.00 μB per formula unit